# 1
A plane-wave DFT calculation with PBE was carried out for crystalline Ca2PaPd4 at its relaxed geometry.

a b c (Å): 8.072 8.072 8.072
angles (deg): 146.84 146.84 47.60
Fractional coordinates of all 7 atoms:
Ca 0.240 0.240 0.000
Ca 0.760 0.760 0.000
Pa 0.500 0.500 0.000
Pd 0.109 0.609 0.500
Pd 0.391 0.891 0.500
Pd 0.609 0.109 0.500
Pd 0.891 0.391 0.500

Values from the calculation:
Crystal system: tetragonal
DFT formation energy (eV per formula unit): -2.84
Raw total energy (eV/atom): -5.3017
Size of the total moment (μB/atom): 0.000

---

# 2
A plane-wave DFT calculation with PBE was carried out for crystalline Ca4PaPd5 at its relaxed geometry.

a b c (Å): 3.536 3.536 17.865
angles (deg): 90.00 90.00 90.00
Fractional coordinates of all 10 atoms:
Ca 0.000 0.000 0.098
Ca 0.000 0.000 0.295
Ca 0.000 0.000 0.705
Ca 0.000 0.000 0.902
Pa 0.000 0.000 0.500
Pd 0.500 0.500 0.000
Pd 0.500 0.500 0.197
Pd 0.500 0.500 0.412
Pd 0.500 0.500 0.588
Pd 0.500 0.500 0.803

Values from the calculation:
Crystal system: tetragonal
DFT formation energy (eV per formula unit): -6.18
Raw total energy (eV/atom): -4.9645
Size of the total moment (μB/atom): 0.039

---

# 3
A plane-wave DFT calculation with PBE was carried out for crystalline CaPaPd2 at its relaxed geometry.

a b c (Å): 3.527 3.527 7.324
angles (deg): 90.00 90.00 90.00
Fractional coordinates of all 4 atoms:
Ca 0.000 0.000 0.000
Pa 0.000 0.000 0.500
Pd 0.500 0.500 0.285
Pd 0.500 0.500 0.715

Values from the calculation:
Crystal system: tetragonal
DFT formation energy (eV per formula unit): -2.16
Raw total energy (eV/atom): -6.0100
Size of the total moment (μB/atom): 0.072

---

# 4
A plane-wave DFT calculation with PBE was carried out for crystalline CaPaPd14 at its relaxed geometry.

a b c (Å): 5.813 5.813 7.814
angles (deg): 90.00 90.00 90.00
Fractional coordinates of all 16 atoms:
Ca 0.000 0.000 0.000
Pa 0.500 0.500 0.000
Pd 0.000 0.000 0.500
Pd 0.000 0.500 0.000
Pd 0.000 0.500 0.500
Pd 0.255 0.255 0.256
Pd 0.255 0.255 0.744
Pd 0.255 0.745 0.256
Pd 0.255 0.745 0.744
Pd 0.500 0.000 0.000
Pd 0.500 0.000 0.500
Pd 0.500 0.500 0.500
Pd 0.745 0.255 0.256
Pd 0.745 0.255 0.744
Pd 0.745 0.745 0.256
Pd 0.745 0.745 0.744

Values from the calculation:
Crystal system: tetragonal
DFT formation energy (eV per formula unit): -6.08
Raw total energy (eV/atom): -5.6421
Size of the total moment (μB/atom): 0.000

---

# 5
A plane-wave DFT calculation with PBE was carried out for crystalline CaPaPd2 at its relaxed geometry.

a b c (Å): 4.972 4.972 4.972
angles (deg): 60.00 60.00 60.00
Fractional coordinates of all 4 atoms:
Ca 0.000 0.000 0.000
Pa 0.500 0.500 0.500
Pd 0.250 0.250 0.250
Pd 0.750 0.750 0.750

Values from the calculation:
Crystal system: cubic
DFT formation energy (eV per formula unit): -1.74
Raw total energy (eV/atom): -5.9067
Size of the total moment (μB/atom): 0.117

---

# 6
A plane-wave DFT calculation with PBE was carried out for crystalline Ca5PaPd6 at its relaxed geometry.

a b c (Å): 8.633 8.633 5.043
angles (deg): 106.79 106.79 49.03
Fractional coordinates of all 12 atoms:
Ca 0.000 0.000 0.000
Ca 0.160 0.160 0.660
Ca 0.320 0.320 0.320
Ca 0.680 0.680 0.680
Ca 0.840 0.840 0.340
Pa 0.500 0.500 0.000
Pd 0.126 0.572 0.849
Pd 0.288 0.712 0.500
Pd 0.428 0.874 0.151
Pd 0.572 0.126 0.849
Pd 0.712 0.288 0.500
Pd 0.874 0.428 0.151

Values from the calculation:
Crystal system: monoclinic
DFT formation energy (eV per formula unit): -7.93
Raw total energy (eV/atom): -4.8823
Size of the total moment (μB/atom): 0.000

---

# 7
A plane-wave DFT calculation with PBE was carried out for crystalline CaPa2Pd9 at its relaxed geometry.

a b c (Å): 4.145 4.145 12.389
angles (deg): 90.00 90.00 90.00
Fractional coordinates of all 12 atoms:
Ca 0.000 0.000 0.000
Pa 0.000 0.000 0.328
Pa 0.000 0.000 0.672
Pd 0.000 0.500 0.173
Pd 0.000 0.500 0.500
Pd 0.000 0.500 0.827
Pd 0.500 0.000 0.173
Pd 0.500 0.000 0.500
Pd 0.500 0.000 0.827
Pd 0.500 0.500 0.000
Pd 0.500 0.500 0.336
Pd 0.500 0.500 0.664

Values from the calculation:
Crystal system: tetragonal
DFT formation energy (eV per formula unit): -9.05
Raw total energy (eV/atom): -6.3980
Size of the total moment (μB/atom): 0.024

---

# 8
A plane-wave DFT calculation with PBE was carried out for crystalline CaPa2PdS8 at its relaxed geometry.

a b c (Å): 6.279 6.279 7.521
angles (deg): 90.00 90.00 120.00
Fractional coordinates of all 12 atoms:
Ca 0.000 0.000 0.000
Pa 0.333 0.667 0.390
Pa 0.667 0.333 0.610
Pd 0.000 0.000 0.500
S 0.174 0.349 0.685
S 0.174 0.826 0.685
S 0.333 0.667 0.068
S 0.349 0.174 0.315
S 0.651 0.826 0.685
S 0.667 0.333 0.932
S 0.826 0.174 0.315
S 0.826 0.651 0.315

Values from the calculation:
Crystal system: trigonal
Raw total energy (eV/atom): -5.9709
Size of the total moment (μB/atom): 0.000
Formation energy from raw total energies (eV/atom): -1.037

---

# 9
A plane-wave DFT calculation with PBE was carried out for crystalline CaPaPdSe4 at its relaxed geometry.

a b c (Å): 7.253 5.748 8.766
angles (deg): 90.00 113.36 90.00
Fractional coordinates of all 14 atoms:
Ca 0.221 0.250 0.455
Ca 0.779 0.750 0.545
Pa 0.223 0.250 0.944
Pa 0.777 0.750 0.056
Pd 0.270 0.750 0.217
Pd 0.730 0.250 0.783
Se 0.063 0.750 0.902
Se 0.066 0.750 0.386
Se 0.447 0.509 0.780
Se 0.447 0.991 0.780
Se 0.553 0.009 0.220
Se 0.553 0.491 0.220
Se 0.934 0.250 0.614
Se 0.937 0.250 0.098

Values from the calculation:
Crystal system: monoclinic
Raw total energy (eV/atom): -5.5678
Size of the total moment (μB/atom): 0.018
Formation energy from raw total energies (eV/atom): -1.192

---

# 10
A plane-wave DFT calculation with PBE was carried out for crystalline CaPm2Pa2Rh5 at its relaxed geometry.

a b c (Å): 11.083 11.083 3.598
angles (deg): 90.00 90.00 90.00
Fractional coordinates of all 20 atoms:
Ca 0.000 0.000 0.000
Ca 0.500 0.500 0.000
Pm 0.172 0.328 0.000
Pm 0.328 0.828 0.000
Pm 0.672 0.172 0.000
Pm 0.828 0.672 0.000
Pa 0.136 0.636 0.000
Pa 0.364 0.136 0.000
Pa 0.636 0.864 0.000
Pa 0.864 0.364 0.000
Rh 0.000 0.500 0.500
Rh 0.048 0.786 0.500
Rh 0.214 0.048 0.500
Rh 0.286 0.548 0.500
Rh 0.452 0.286 0.500
Rh 0.500 0.000 0.500
Rh 0.548 0.714 0.500
Rh 0.714 0.452 0.500
Rh 0.786 0.952 0.500
Rh 0.952 0.214 0.500

Values from the calculation:
Crystal system: tetragonal
DFT formation energy (eV per formula unit): -5.74
Raw total energy (eV/atom): -7.2990
Size of the total moment (μB/atom): 0.000

---

# 11
A plane-wave DFT calculation with PBE was carried out for crystalline CaPm2PaSb4 at its relaxed geometry.

a b c (Å): 7.714 4.462 7.729
angles (deg): 90.00 109.15 90.00
Fractional coordinates of all 8 atoms:
Ca 0.000 0.000 0.000
Pm 0.000 0.500 0.500
Pm 0.500 0.000 0.500
Pa 0.500 0.500 0.000
Sb 0.257 0.000 0.757
Sb 0.257 0.500 0.244
Sb 0.743 0.000 0.243
Sb 0.743 0.500 0.756

Values from the calculation:
Crystal system: monoclinic
Raw total energy (eV/atom): -5.6367
Size of the total moment (μB/atom): 0.051
Formation energy from raw total energies (eV/atom): -0.951

---

# 12
A plane-wave DFT calculation with PBE was carried out for crystalline Ca4PmPa3Sb8 at its relaxed geometry.

a b c (Å): 8.946 8.946 8.946
angles (deg): 59.96 59.96 59.96
Fractional coordinates of all 16 atoms:
Ca 0.000 0.000 0.000
Ca 0.000 0.500 0.500
Ca 0.500 0.000 0.500
Ca 0.500 0.500 0.000
Pm 0.500 0.500 0.500
Pa 0.000 0.000 0.500
Pa 0.000 0.500 0.000
Pa 0.500 0.000 0.000
Sb 0.239 0.750 0.750
Sb 0.246 0.246 0.246
Sb 0.250 0.250 0.761
Sb 0.250 0.761 0.250
Sb 0.750 0.239 0.750
Sb 0.750 0.750 0.239
Sb 0.754 0.754 0.754
Sb 0.761 0.250 0.250

Values from the calculation:
Crystal system: trigonal
Raw total energy (eV/atom): -5.4562
Size of the total moment (μB/atom): 0.110
Formation energy from raw total energies (eV/atom): -0.817

---

# 13
A plane-wave DFT calculation with PBE was carried out for crystalline CaPr2Pa at its relaxed geometry.

a b c (Å): 3.500 3.500 10.964
angles (deg): 90.00 90.00 90.00
Fractional coordinates of all 4 atoms:
Ca 0.000 0.000 0.000
Pr 0.500 0.500 0.280
Pr 0.500 0.500 0.720
Pa 0.000 0.000 0.500

Values from the calculation:
Crystal system: tetragonal
DFT formation energy (eV per formula unit): 0.66
Raw total energy (eV/atom): -5.0979
Size of the total moment (μB/atom): 0.000

---

# 14
A plane-wave DFT calculation with PBE was carried out for crystalline CaPr2Pa at its relaxed geometry.

a b c (Å): 12.290 12.290 12.290
angles (deg): 16.71 16.71 16.71
Fractional coordinates of all 4 atoms:
Ca 0.000 0.000 0.000
Pr 0.243 0.243 0.243
Pr 0.757 0.757 0.757
Pa 0.500 0.500 0.500

Values from the calculation:
Crystal system: trigonal
DFT formation energy (eV per formula unit): 0.74
Raw total energy (eV/atom): -5.0801
Size of the total moment (μB/atom): 0.000

---

# 15
A plane-wave DFT calculation with PBE was carried out for crystalline CaPr2Pa2Rh5 at its relaxed geometry.

a b c (Å): 11.172 11.172 3.597
angles (deg): 90.00 90.00 90.00
Fractional coordinates of all 20 atoms:
Ca 0.000 0.000 0.000
Ca 0.500 0.500 0.000
Pr 0.173 0.327 0.000
Pr 0.327 0.827 0.000
Pr 0.673 0.173 0.000
Pr 0.827 0.673 0.000
Pa 0.136 0.636 0.000
Pa 0.364 0.136 0.000
Pa 0.636 0.864 0.000
Pa 0.864 0.364 0.000
Rh 0.000 0.500 0.500
Rh 0.050 0.786 0.500
Rh 0.214 0.050 0.500
Rh 0.286 0.550 0.500
Rh 0.450 0.286 0.500
Rh 0.500 0.000 0.500
Rh 0.550 0.714 0.500
Rh 0.714 0.450 0.500
Rh 0.786 0.950 0.500
Rh 0.950 0.214 0.500

Values from the calculation:
Crystal system: tetragonal
DFT formation energy (eV per formula unit): -5.58
Raw total energy (eV/atom): -7.2886
Size of the total moment (μB/atom): 0.000

---

# 16
A plane-wave DFT calculation with PBE was carried out for crystalline CaPr2Pa2Ru5 at its relaxed geometry.

a b c (Å): 10.730 10.730 3.939
angles (deg): 90.00 90.00 90.00
Fractional coordinates of all 20 atoms:
Ca 0.000 0.000 0.000
Ca 0.500 0.500 0.000
Pr 0.178 0.322 0.000
Pr 0.322 0.822 0.000
Pr 0.678 0.178 0.000
Pr 0.822 0.678 0.000
Pa 0.123 0.623 0.000
Pa 0.377 0.123 0.000
Pa 0.623 0.877 0.000
Pa 0.877 0.377 0.000
Ru 0.000 0.500 0.500
Ru 0.071 0.770 0.500
Ru 0.230 0.071 0.500
Ru 0.270 0.571 0.500
Ru 0.429 0.270 0.500
Ru 0.500 0.000 0.500
Ru 0.571 0.730 0.500
Ru 0.730 0.429 0.500
Ru 0.770 0.929 0.500
Ru 0.929 0.230 0.500

Values from the calculation:
Crystal system: tetragonal
DFT formation energy (eV per formula unit): -1.42
Raw total energy (eV/atom): -7.8350
Size of the total moment (μB/atom): 0.000

---

# 17
A plane-wave DFT calculation with PBE was carried out for crystalline CaPr2PaSb4 at its relaxed geometry.

a b c (Å): 7.766 4.499 7.784
angles (deg): 90.00 109.21 90.00
Fractional coordinates of all 8 atoms:
Ca 0.000 0.000 0.000
Pr 0.000 0.500 0.500
Pr 0.500 0.000 0.500
Pa 0.500 0.500 0.000
Sb 0.256 0.500 0.240
Sb 0.259 0.000 0.762
Sb 0.741 0.000 0.238
Sb 0.744 0.500 0.760

Values from the calculation:
Crystal system: monoclinic
Raw total energy (eV/atom): -5.6455
Size of the total moment (μB/atom): 0.043
Formation energy from raw total energies (eV/atom): -0.952

---

# 18
A plane-wave DFT calculation with PBE was carried out for crystalline Ca2PaPt2 at its relaxed geometry.

a b c (Å): 10.433 7.316 6.964
angles (deg): 90.00 94.37 90.00
Fractional coordinates of all 20 atoms:
Ca 0.057 0.104 0.271
Ca 0.057 0.396 0.771
Ca 0.295 0.748 0.484
Ca 0.295 0.752 0.984
Ca 0.705 0.248 0.016
Ca 0.705 0.252 0.516
Ca 0.943 0.604 0.229
Ca 0.943 0.896 0.729
Pa 0.369 0.238 0.988
Pa 0.369 0.262 0.488
Pa 0.631 0.738 0.512
Pa 0.631 0.762 0.012
Pt 0.201 0.065 0.706
Pt 0.201 0.435 0.206
Pt 0.479 0.515 0.760
Pt 0.479 0.985 0.260
Pt 0.521 0.015 0.740
Pt 0.521 0.485 0.240
Pt 0.799 0.565 0.794
Pt 0.799 0.935 0.294

Values from the calculation:
Crystal system: monoclinic
DFT formation energy (eV per formula unit): -3.94
Raw total energy (eV/atom): -5.9050
Size of the total moment (μB/atom): 0.000

---

# 19
A plane-wave DFT calculation with PBE was carried out for crystalline Ca3Pa2Pt4 at its relaxed geometry.

a b c (Å): 7.259 7.259 9.170
angles (deg): 104.24 104.24 30.80
Fractional coordinates of all 9 atoms:
Ca 0.000 0.000 0.000
Ca 0.395 0.395 0.605
Ca 0.605 0.605 0.395
Pa 0.311 0.311 0.185
Pa 0.689 0.689 0.815
Pt 0.068 0.068 0.646
Pt 0.335 0.335 0.890
Pt 0.665 0.665 0.110
Pt 0.932 0.932 0.354

Values from the calculation:
Crystal system: monoclinic
DFT formation energy (eV per formula unit): -7.32
Raw total energy (eV/atom): -6.2758
Size of the total moment (μB/atom): 0.000

---

# 20
A plane-wave DFT calculation with PBE was carried out for crystalline Ca4PaPt5 at its relaxed geometry.

a b c (Å): 3.522 3.522 17.668
angles (deg): 90.00 90.00 90.00
Fractional coordinates of all 10 atoms:
Ca 0.000 0.000 0.097
Ca 0.000 0.000 0.291
Ca 0.000 0.000 0.709
Ca 0.000 0.000 0.903
Pa 0.000 0.000 0.500
Pt 0.500 0.500 0.000
Pt 0.500 0.500 0.195
Pt 0.500 0.500 0.412
Pt 0.500 0.500 0.588
Pt 0.500 0.500 0.805

Values from the calculation:
Crystal system: tetragonal
DFT formation energy (eV per formula unit): -8.91
Raw total energy (eV/atom): -5.6619
Size of the total moment (μB/atom): 0.015